Record 1
A relaxed TeSBr crystal, computed with PBE.

Cell lengths 3.762, 4.569, 6.697 Å; angles 86.72, 85.25, 65.91 degrees
Sites, in units of the cell vectors:
Te1 0.000 0.000 0.000
S1 0.596 0.742 0.198
Br1 0.389 0.304 0.724

Properties
The value obtained for the calculated density is 3800 kg/m³. As for the energy above the lowest structure with this stoichiometry: 0.155 eV/f.u.

Record 2
A relaxed Te2SBr crystal, computed with PBE.

Cell lengths 7.300, 7.300, 7.300 Å; angles 90.00, 90.00, 90.00 degrees
Sites, in units of the cell vectors:
Te1 0.250 0.250 0.250
Te2 0.250 0.250 0.750
Te3 0.250 0.750 0.250
Te4 0.250 0.750 0.750
Te5 0.750 0.250 0.250
Te6 0.750 0.250 0.750
Te7 0.750 0.750 0.250
Te8 0.750 0.750 0.750
S1 0.000 0.000 0.000
S2 0.000 0.500 0.500
S3 0.500 0.000 0.500
S4 0.500 0.500 0.000
Br1 0.000 0.000 0.500
Br2 0.000 0.500 0.000
Br3 0.500 0.000 0.000
Br4 0.500 0.500 0.500

Properties
The value obtained for the calculated density is 6268 kg/m³. As for the energy above the lowest structure with this stoichiometry: 1.969 eV/f.u.

Record 3
A relaxed TeSBr crystal, computed with PBE.

Cell lengths 13.871, 3.758, 8.618 Å; angles 90.00, 101.19, 90.00 degrees
Sites, in units of the cell vectors:
Te1 0.232 0.000 0.285
Te2 0.268 0.500 0.715
Te3 0.732 0.500 0.285
Te4 0.768 0.000 0.715
S1 0.139 0.500 0.389
S2 0.361 0.000 0.611
S3 0.639 0.000 0.389
S4 0.861 0.500 0.611
Br1 0.135 0.000 0.818
Br2 0.365 0.500 0.182
Br3 0.635 0.500 0.818
Br4 0.865 0.000 0.182

Properties
The value obtained for the calculated density is 3610 kg/m³. As for the energy above the lowest structure with this stoichiometry: 0.037 eV/f.u.

Record 4
A relaxed TeSBr3 crystal, computed with PBE.

Cell lengths 7.800, 7.654, 15.924 Å; angles 90.00, 93.26, 90.00 degrees
Sites, in units of the cell vectors:
Te1 0.078 0.136 0.377
Te2 0.078 0.864 0.877
Te3 0.922 0.136 0.123
Te4 0.922 0.864 0.623
S1 0.096 0.420 0.293
S2 0.096 0.580 0.793
S3 0.904 0.420 0.207
S4 0.904 0.580 0.707
Br1 0.108 0.245 0.003
Br2 0.108 0.755 0.503
Br3 0.227 0.033 0.218
Br4 0.227 0.967 0.718
Br5 0.366 0.249 0.444
Br6 0.366 0.751 0.944
Br7 0.634 0.249 0.056
Br8 0.634 0.751 0.556
Br9 0.773 0.033 0.282
Br10 0.773 0.967 0.782
Br11 0.892 0.245 0.497
Br12 0.892 0.755 0.997

Properties
The value obtained for the calculated density is 2795 kg/m³. As for the energy above the lowest structure with this stoichiometry: 0.000 eV/f.u.

Record 5
A relaxed TeSBr crystal, computed with PBE.

Cell lengths 5.886, 6.160, 6.585 Å; angles 95.49, 111.92, 97.95 degrees
Sites, in units of the cell vectors:
Te1 0.000 0.000 0.000
Te2 0.223 0.030 0.460
S1 0.159 0.658 0.584
S2 0.292 0.720 0.913
Br1 0.711 0.009 0.490
Br2 0.752 0.329 0.053

Properties
The value obtained for the calculated density is 3675 kg/m³. As for the energy above the lowest structure with this stoichiometry: 0.329 eV/f.u.

Record 6
A relaxed Ti2TeSBr crystal, computed with PBE.

Cell lengths 5.176, 5.176, 5.349 Å; angles 90.00, 90.00, 90.00 degrees
Sites, in units of the cell vectors:
Ti1 0.000 0.500 0.000
Ti2 0.500 0.000 0.000
Te1 0.000 0.000 0.000
S1 0.500 0.500 0.500
Br1 0.000 0.000 0.500

Properties
The uncorrected energy comes out at -4.20 eV per atom. The value obtained for the calculated density is 3886 kg/m³.

Record 7
A relaxed TlTeS2Br crystal, computed with PBE.

Cell lengths 6.214, 5.550, 8.999 Å; angles 90.00, 106.58, 90.00 degrees
Sites, in units of the cell vectors:
Tl1 0.229 0.250 0.481
Tl2 0.771 0.750 0.519
Te1 0.223 0.750 0.087
Te2 0.777 0.250 0.913
S1 0.177 0.250 0.052
S2 0.228 0.750 0.349
S3 0.772 0.250 0.651
S4 0.823 0.750 0.948
Br1 0.319 0.750 0.736
Br2 0.681 0.250 0.264

Properties
The uncorrected energy comes out at -3.31 eV per atom. The value obtained for the calculated density is 5315 kg/m³.

Record 8
A relaxed Tl2TeS2Br2 crystal, computed with PBE.

Cell lengths 5.224, 5.224, 16.434 Å; angles 90.00, 90.00, 90.00 degrees
Sites, in units of the cell vectors:
Tl1 0.000 0.000 0.122
Tl2 0.000 0.000 0.878
Tl3 0.500 0.500 0.378
Tl4 0.500 0.500 0.622
Te1 0.000 0.000 0.500
Te2 0.500 0.500 0.000
S1 0.000 0.500 0.000
S2 0.000 0.500 0.500
S3 0.500 0.000 0.000
S4 0.500 0.000 0.500
Br1 0.000 0.000 0.331
Br2 0.000 0.000 0.669
Br3 0.500 0.500 0.169
Br4 0.500 0.500 0.831

Properties
The uncorrected energy comes out at -3.13 eV per atom. The value obtained for the calculated density is 5631 kg/m³.

Record 9
A relaxed ThSBr3 crystal, computed with PBE.

Cell lengths 8.714, 8.714, 8.714 Å; angles 114.39, 93.94, 121.23 degrees
Sites, in units of the cell vectors:
Th1 0.231 0.250 0.481
Th2 0.769 0.750 0.519
S1 0.164 0.017 0.646
S2 0.371 0.517 0.354
Br1 0.266 0.048 0.156
Br2 0.266 0.610 0.718
Br3 0.648 0.478 0.670
Br4 0.808 0.978 0.330
Br5 0.893 0.110 0.844
Br6 0.893 0.548 0.282

Properties
The uncorrected energy comes out at -4.60 eV per atom. The value obtained for the calculated density is 3485 kg/m³.

Record 10
A relaxed ThSBr2 crystal, computed with PBE.

Cell lengths 9.561, 3.980, 8.371 Å; angles 90.00, 110.24, 90.00 degrees
Sites, in units of the cell vectors:
Th1 0.000 0.000 0.000
Th2 0.500 0.500 0.000
S1 0.202 0.500 0.000
S2 0.702 0.000 0.000
Br1 0.007 0.500 0.270
Br2 0.344 0.000 0.730
Br3 0.507 0.000 0.270
Br4 0.844 0.500 0.730

Properties
The uncorrected energy comes out at -5.43 eV per atom. The value obtained for the calculated density is 4711 kg/m³.

Record 11
A relaxed ThSBr crystal, computed with PBE.

Cell lengths 3.788, 4.190, 11.630 Å; angles 90.00, 91.27, 90.00 degrees
Sites, in units of the cell vectors:
Th1 0.240 0.250 0.354
Th2 0.760 0.750 0.646
S1 0.257 0.250 0.604
S2 0.743 0.750 0.396
Br1 0.274 0.750 0.845
Br2 0.726 0.250 0.155

Properties
The uncorrected energy comes out at -6.20 eV per atom. The value obtained for the calculated density is 6191 kg/m³.

Record 12
A relaxed Th4S6Br crystal, computed with PBE.

Cell lengths 8.603, 8.603, 4.049 Å; angles 90.00, 90.00, 120.00 degrees
Sites, in units of the cell vectors:
Th1 0.000 0.000 0.000
Th2 0.039 0.519 0.500
Th3 0.481 0.519 0.500
Th4 0.481 0.961 0.500
S1 0.205 0.410 0.000
S2 0.205 0.795 0.000
S3 0.276 0.138 0.500
S4 0.590 0.795 0.000
S5 0.862 0.138 0.500
S6 0.862 0.724 0.500
Br1 0.667 0.333 0.000

Properties
The uncorrected energy comes out at -6.96 eV per atom. The value obtained for the calculated density is 7681 kg/m³.

Record 13
A relaxed ThS2Br4 crystal, computed with PBE.

Cell lengths 3.722, 8.668, 8.797 Å; angles 90.64, 90.22, 102.29 degrees
Sites, in units of the cell vectors:
Th1 0.000 0.000 0.000
S1 0.191 0.439 0.484
S2 0.809 0.561 0.516
Br1 0.363 0.726 0.943
Br2 0.475 0.944 0.263
Br3 0.525 0.056 0.737
Br4 0.637 0.274 0.057

Properties
The uncorrected energy comes out at -4.21 eV per atom. The value obtained for the calculated density is 3687 kg/m³.

Record 14
A relaxed ThSBr crystal, computed with PBE.

Cell lengths 4.093, 4.093, 7.153 Å; angles 90.00, 90.00, 120.00 degrees
Sites, in units of the cell vectors:
Th1 0.000 0.000 0.000
S1 0.667 0.333 0.802
Br1 0.333 0.667 0.278

Properties
The uncorrected energy comes out at -5.98 eV per atom. The value obtained for the calculated density is 5506 kg/m³.

Record 15
A relaxed ThSBr crystal, computed with PBE.

Cell lengths 15.518, 4.090, 6.928 Å; angles 90.00, 107.96, 90.00 degrees
Sites, in units of the cell vectors:
Th1 0.247 0.000 0.233
Th2 0.253 0.500 0.767
Th3 0.747 0.500 0.233
Th4 0.753 0.000 0.767
S1 0.156 0.500 0.353
S2 0.344 0.000 0.647
S3 0.656 0.000 0.353
S4 0.844 0.500 0.647
Br1 0.110 0.000 0.807
Br2 0.390 0.500 0.193
Br3 0.610 0.500 0.807
Br4 0.890 0.000 0.193

Properties
The uncorrected energy comes out at -6.01 eV per atom. The value obtained for the calculated density is 5463 kg/m³.

Record 16
A relaxed ThTl2S2Br2 crystal, computed with PBE.

Cell lengths 5.475, 5.475, 16.833 Å; angles 90.00, 90.00, 90.00 degrees
Sites, in units of the cell vectors:
Th1 0.000 0.000 0.000
Th2 0.500 0.500 0.500
Tl1 0.000 0.000 0.380
Tl2 0.000 0.000 0.620
Tl3 0.500 0.500 0.120
Tl4 0.500 0.500 0.880
S1 0.000 0.500 0.000
S2 0.000 0.500 0.500
S3 0.500 0.000 0.000
S4 0.500 0.000 0.500
Br1 0.000 0.000 0.172
Br2 0.000 0.000 0.828
Br3 0.500 0.500 0.328
Br4 0.500 0.500 0.672

Properties
The uncorrected energy comes out at -4.66 eV per atom. The value obtained for the calculated density is 5692 kg/m³.

Record 17
A relaxed TiSBr3 crystal, computed with PBE.

Cell lengths 8.147, 8.147, 12.784 Å; angles 93.04, 93.04, 126.50 degrees
Sites, in units of the cell vectors:
Ti1 0.024 0.148 0.142
Ti2 0.148 0.024 0.642
Ti3 0.852 0.976 0.358
Ti4 0.976 0.852 0.858
S1 0.058 0.707 0.700
S2 0.293 0.942 0.800
S3 0.707 0.058 0.200
S4 0.942 0.293 0.300
Br1 0.046 0.223 0.532
Br2 0.189 0.266 0.792
Br3 0.196 0.476 0.083
Br4 0.223 0.046 0.032
Br5 0.266 0.189 0.292
Br6 0.476 0.196 0.583
Br7 0.524 0.804 0.417
Br8 0.734 0.811 0.708
Br9 0.777 0.954 0.968
Br10 0.804 0.524 0.917
Br11 0.811 0.734 0.208
Br12 0.954 0.777 0.468

Properties
The value obtained for the calculated density is 3135 kg/m³. As for the energy above the lowest structure with this stoichiometry: 0.000 eV/f.u.

Record 18
A relaxed TiSBr3 crystal, computed with PBE.

Cell lengths 5.200, 5.200, 5.200 Å; angles 90.00, 90.00, 90.00 degrees
Sites, in units of the cell vectors:
Ti1 0.000 0.000 0.000
S1 0.500 0.500 0.500
Br1 0.000 0.500 0.500
Br2 0.500 0.000 0.500
Br3 0.500 0.500 0.000

Properties
The value obtained for the calculated density is 3774 kg/m³. As for the energy above the lowest structure with this stoichiometry: 8.234 eV/f.u.

Record 19
A relaxed TiSBr3 crystal, computed with PBE.

Cell lengths 5.107, 5.107, 5.107 Å; angles 90.00, 90.00, 90.00 degrees
Sites, in units of the cell vectors:
Ti1 0.000 0.000 0.000
S1 0.500 0.500 0.500
Br1 0.000 0.000 0.500
Br2 0.000 0.500 0.000
Br3 0.500 0.000 0.000

Properties
The value obtained for the calculated density is 3986 kg/m³. As for the energy above the lowest structure with this stoichiometry: 4.135 eV/f.u.

Record 20
A relaxed TiSBr2 crystal, computed with PBE.

Cell lengths 6.771, 6.771, 6.771 Å; angles 90.00, 90.00, 90.00 degrees
Sites, in units of the cell vectors:
Ti1 0.000 0.000 0.000
Ti2 0.000 0.500 0.500
Ti3 0.500 0.000 0.500
Ti4 0.500 0.500 0.000
S1 0.000 0.000 0.500
S2 0.000 0.500 0.000
S3 0.500 0.000 0.000
S4 0.500 0.500 0.500
Br1 0.250 0.250 0.250
Br2 0.250 0.250 0.750
Br3 0.250 0.750 0.250
Br4 0.250 0.750 0.750
Br5 0.750 0.250 0.250
Br6 0.750 0.250 0.750
Br7 0.750 0.750 0.250
Br8 0.750 0.750 0.750

Properties
The value obtained for the calculated density is 5129 kg/m³. As for the energy above the lowest structure with this stoichiometry: 4.671 eV/f.u.